Below is a relaxed Pm4GaSBr2 crystal, with properties calculated at the PBE-GGA level.

Unit cell a=7.121 b=4.199 c=7.725 alpha=90.00 beta=108.88 gamma=90.00
Positions (direct):
1 Pm 0.229 0.000 0.204
2 Pm 0.254 0.500 0.788
3 Pm 0.746 0.500 0.212
4 Pm 0.771 0.000 0.796
5 Ga 0.500 0.000 0.000
6 S 0.000 0.500 0.000
7 Br 0.000 0.000 0.500
8 Br 0.500 0.500 0.500

Calculated values
Electronic total energy = -39.663 eV per cell



Below is a relaxed Pm4GaSe2Br crystal, with properties calculated at the PBE-GGA level.

Unit cell a=7.332 b=4.178 c=7.469 alpha=90.00 beta=108.64 gamma=90.00
Positions (direct):
1 Pm 0.237 0.000 0.225
2 Pm 0.249 0.500 0.761
3 Pm 0.751 0.500 0.239
4 Pm 0.763 0.000 0.775
5 Ga 0.500 0.000 0.000
6 Se 0.000 0.000 0.500
7 Se 0.000 0.500 0.000
8 Br 0.500 0.500 0.500

Calculated values
Electronic total energy = -41.688 eV per cell



Below is a relaxed Pm8Ga3SeBr4 crystal, with properties calculated at the PBE-GGA level.

Unit cell a=8.676 b=8.676 c=8.676 alpha=59.27 beta=59.27 gamma=59.27
Positions (direct):
1 Pm 0.233 0.743 0.743
2 Pm 0.240 0.240 0.240
3 Pm 0.257 0.257 0.767
4 Pm 0.257 0.767 0.257
5 Pm 0.743 0.233 0.743
6 Pm 0.743 0.743 0.233
7 Pm 0.760 0.760 0.760
8 Pm 0.767 0.257 0.257
9 Ga 0.000 0.000 0.500
10 Ga 0.000 0.500 0.000
11 Ga 0.500 0.000 0.000
12 Se 0.500 0.500 0.500
13 Br 0.000 0.000 0.000
14 Br 0.000 0.500 0.500
15 Br 0.500 0.000 0.500
16 Br 0.500 0.500 0.000

Calculated values
Electronic total energy = -74.294 eV per cell



Below is a relaxed Pm8GaSi3Br4 crystal, with properties calculated at the PBE-GGA level.

Unit cell a=8.736 b=8.736 c=8.736 alpha=58.44 beta=58.44 gamma=58.44
Positions (direct):
1 Pm 0.237 0.237 0.237
2 Pm 0.237 0.739 0.739
3 Pm 0.261 0.261 0.763
4 Pm 0.261 0.763 0.261
5 Pm 0.739 0.237 0.739
6 Pm 0.739 0.739 0.237
7 Pm 0.763 0.261 0.261
8 Pm 0.763 0.763 0.763
9 Ga 0.500 0.500 0.500
10 Si 0.000 0.000 0.500
11 Si 0.000 0.500 0.000
12 Si 0.500 0.000 0.000
13 Br 0.000 0.000 0.000
14 Br 0.000 0.500 0.500
15 Br 0.500 0.000 0.500
16 Br 0.500 0.500 0.000

Calculated values
Electronic total energy = -80.453 eV per cell



Below is a relaxed Pm8Ga3Te4Br crystal, with properties calculated at the PBE-GGA level.

Unit cell a=8.899 b=8.899 c=8.899 alpha=58.06 beta=58.06 gamma=58.06
Positions (direct):
1 Pm 0.234 0.749 0.749
2 Pm 0.245 0.245 0.245
3 Pm 0.251 0.251 0.766
4 Pm 0.251 0.766 0.251
5 Pm 0.749 0.234 0.749
6 Pm 0.749 0.749 0.234
7 Pm 0.755 0.755 0.755
8 Pm 0.766 0.251 0.251
9 Ga 0.000 0.000 0.500
10 Ga 0.000 0.500 0.000
11 Ga 0.500 0.000 0.000
12 Te 0.000 0.000 0.000
13 Te 0.000 0.500 0.500
14 Te 0.500 0.000 0.500
15 Te 0.500 0.500 0.000
16 Br 0.500 0.500 0.500

Calculated values
Electronic total energy = -78.885 eV per cell



Below is a relaxed PmTl2GaBr6 crystal, with properties calculated at the PBE-GGA level.

Unit cell a=8.318 b=8.318 c=8.318 alpha=58.16 beta=58.16 gamma=58.16
Positions (direct):
1 Pm 0.000 0.000 0.000
2 Tl 0.298 0.298 0.298
3 Tl 0.791 0.791 0.791
4 Ga 0.507 0.507 0.507
5 Br 0.139 0.337 0.747
6 Br 0.215 0.867 0.655
7 Br 0.337 0.747 0.139
8 Br 0.655 0.215 0.867
9 Br 0.747 0.139 0.337
10 Br 0.867 0.655 0.215

Calculated values
Electronic total energy = -34.661 eV per cell



Below is a relaxed Pr4Ga2Br3 crystal, with properties calculated at the PBE-GGA level.

Unit cell a=4.210 b=4.210 c=18.895 alpha=90.05 beta=90.05 gamma=60.00
Positions (direct):
1 Pr 0.001 0.001 0.302
2 Pr 0.334 0.334 0.109
3 Pr 0.666 0.666 0.891
4 Pr 0.999 0.999 0.698
5 Ga 0.333 0.333 0.797
6 Ga 0.667 0.667 0.203
7 Br 0.000 0.000 0.000
8 Br 0.334 0.334 0.398
9 Br 0.666 0.666 0.602

Calculated values
Electronic total energy = -40.080 eV per cell



Below is a relaxed PrGa2Br8 crystal, with properties calculated at the PBE-GGA level.

Unit cell a=8.369 b=8.369 c=6.983 alpha=97.91 beta=97.91 gamma=68.38
Positions (direct):
1 Pr 0.000 0.000 0.000
2 Ga 0.195 0.195 0.655
3 Ga 0.805 0.805 0.345
4 Br 0.099 0.702 0.232
5 Br 0.181 0.181 0.291
6 Br 0.298 0.901 0.768
7 Br 0.362 0.362 0.791
8 Br 0.638 0.638 0.209
9 Br 0.702 0.099 0.232
10 Br 0.819 0.819 0.709
11 Br 0.901 0.298 0.768

Calculated values
Electronic total energy = -35.991 eV per cell



Below is a relaxed Pr7GaBr12 crystal, with properties calculated at the PBE-GGA level.

Unit cell a=9.570 b=9.570 c=9.570 alpha=108.00 beta=108.00 gamma=108.00
Positions (direct):
1 Pr 0.000 0.000 0.000
2 Pr 0.168 0.385 0.461
3 Pr 0.385 0.461 0.168
4 Pr 0.461 0.168 0.385
5 Pr 0.539 0.832 0.615
6 Pr 0.615 0.539 0.832
7 Pr 0.832 0.615 0.539
8 Ga 0.500 0.500 0.500
9 Br 0.026 0.340 0.108
10 Br 0.108 0.026 0.340
11 Br 0.192 0.727 0.578
12 Br 0.273 0.422 0.808
13 Br 0.340 0.108 0.026
14 Br 0.422 0.808 0.273
15 Br 0.578 0.192 0.727
16 Br 0.660 0.892 0.974
17 Br 0.727 0.578 0.192
18 Br 0.808 0.273 0.422
19 Br 0.892 0.974 0.660
20 Br 0.974 0.660 0.892

Calculated values
Electronic total energy = -88.859 eV per cell



Below is a relaxed Pr6GaBr8 crystal, with properties calculated at the PBE-GGA level.

Unit cell a=11.735 b=11.735 c=11.735 alpha=36.86 beta=36.86 gamma=36.86
Positions (direct):
1 Pr 0.134 0.448 0.761
2 Pr 0.239 0.866 0.552
3 Pr 0.448 0.761 0.134
4 Pr 0.552 0.239 0.866
5 Pr 0.761 0.134 0.448
6 Pr 0.866 0.552 0.239
7 Ga 0.500 0.500 0.500
8 Br 0.056 0.729 0.392
9 Br 0.167 0.167 0.167
10 Br 0.271 0.608 0.944
11 Br 0.392 0.056 0.729
12 Br 0.608 0.944 0.271
13 Br 0.729 0.392 0.056
14 Br 0.833 0.833 0.833
15 Br 0.944 0.271 0.608

Calculated values
Electronic total energy = -66.698 eV per cell



Below is a relaxed Pr2GaBr crystal, with properties calculated at the PBE-GGA level.

Unit cell a=4.343 b=4.343 c=21.755 alpha=90.00 beta=90.00 gamma=120.00
Positions (direct):
1 Pr 0.000 0.000 0.243
2 Pr 0.000 0.000 0.757
3 Pr 0.333 0.667 0.424
4 Pr 0.333 0.667 0.910
5 Pr 0.667 0.333 0.090
6 Pr 0.667 0.333 0.576
7 Ga 0.000 0.000 0.500
8 Ga 0.333 0.667 0.167
9 Ga 0.667 0.333 0.833
10 Br 0.000 0.000 0.000
11 Br 0.333 0.667 0.667
12 Br 0.667 0.333 0.333

Calculated values
ΔE to the lowest computed polymorph = 40 meV per atom
Electronic total energy = -53.659 eV per cell



Below is a relaxed Pr5Ga2Br crystal, with properties calculated at the PBE-GGA level.

Unit cell a=9.261 b=9.261 c=9.261 alpha=128.75 beta=128.75 gamma=75.41
Positions (direct):
1 Pr 0.000 0.000 0.000
2 Pr 0.020 0.520 0.827
3 Pr 0.193 0.020 0.500
4 Pr 0.307 0.807 0.827
5 Pr 0.480 0.307 0.500
6 Pr 0.500 0.500 0.000
7 Pr 0.520 0.693 0.500
8 Pr 0.693 0.193 0.173
9 Pr 0.807 0.980 0.500
10 Pr 0.980 0.480 0.173
11 Ga 0.125 0.375 0.500
12 Ga 0.375 0.875 0.250
13 Ga 0.625 0.125 0.750
14 Ga 0.875 0.625 0.500
15 Br 0.250 0.250 0.000
16 Br 0.750 0.750 0.000

Calculated values
Electronic total energy = -71.306 eV per cell



| no. | ΔE_f (raw) (eV/f.u.) |
| --- | --- |
| 1 | -10.16 |
| 2 | -11.02 |
| 3 | -17.03 |
| 4 | -16.46 |
| 5 | -17.56 |
| 6 | -12.11 |
| 7 | -9.89 |
| 8 | -11.77 |
| 9 | -32.30 |
| 10 | -21.61 |
| 11 | -3.63 |
| 12 | -4.03 |